{"formula": "Tl3PS", "functional": "PBE", "state": "optimized geometry", "lattice_angstrom": [[5.3471, 0.0000, 0.0000], [0.0000, 5.3471, 0.0000], [0.0000, 0.0000, 5.3471]], "species": ["Tl", "Tl", "Tl", "P", "S"], "fractional_positions": [[0.0000, 0.0000, 0.5000], [0.5000, 0.0000, 0.0000], [0.0000, 0.5000, 0.0000], [0.0000, 0.0000, 0.0000], [0.5000, 0.5000, 0.5000]], "n_ef_per_ev_atom": 0.2770, "crystal_system": "cubic", "polymorph_energy_mev_per_atom": 0.0, "raw_formation_energy_ev_per_atom": 0.2936, "total_energy_ev_per_atom": -3.03}

=====

{"formula": "Tl3PS4", "functional": "PBE", "state": "optimized geometry", "lattice_angstrom": [[-0.0503, 5.6676, -7.0666], [-4.4762, -6.3064, -5.0261], [-9.6349, 4.1386, 3.3878]], "species": ["Tl", "Tl", "Tl", "Tl", "Tl", "Tl", "Tl", "Tl", "Tl", "Tl", "Tl", "Tl", "S", "S", "S", "S", "S", "S", "S", "S", "S", "S", "S", "S", "S", "S", "S", "S", "P", "P", "P", "P"], "fractional_positions": [[0.1015, 0.1095, 0.2500], [0.6015, 0.3905, 0.2500], [0.4352, 0.8025, 0.0536], [0.0648, 0.3025, 0.9464], [0.9352, 0.6975, 0.0536], [0.4352, 0.8025, 0.4464], [0.9352, 0.6975, 0.4464], [0.5648, 0.1975, 0.5536], [0.3985, 0.6095, 0.7500], [0.5648, 0.1975, 0.9464], [0.8985, 0.8905, 0.7500], [0.0648, 0.3025, 0.5536], [0.8347, 0.0324, 0.0968], [0.3347, 0.4676, 0.0968], [0.4880, 0.9400, 0.7500], [0.0120, 0.4400, 0.2500], [0.3347, 0.4676, 0.4032], [0.1653, 0.9676, 0.9032], [0.6971, 0.7476, 0.2500], [0.8029, 0.2476, 0.7500], [0.6653, 0.5324, 0.9032], [0.6653, 0.5324, 0.5968], [0.1971, 0.7524, 0.2500], [0.8347, 0.0324, 0.4032], [0.3029, 0.2524, 0.7500], [0.5120, 0.0600, 0.2500], [0.9880, 0.5600, 0.7500], [0.1653, 0.9676, 0.5968], [0.7205, 0.9724, 0.2500], [0.7795, 0.4724, 0.7500], [0.2205, 0.5276, 0.2500], [0.2795, 0.0276, 0.7500]], "n_ef_per_ev_atom": 0.0000, "crystal_system": "orthorhombic", "polymorph_energy_mev_per_atom": 0.0, "raw_formation_energy_ev_per_atom": -0.4258, "total_energy_ev_per_atom": -4.05}

=====

{"formula": "Tl2PS4", "functional": "PBE", "state": "optimized geometry", "lattice_angstrom": [[-0.5320, -2.0700, 6.8136], [6.5773, -2.7684, -0.2615], [-1.1569, 6.7310, -1.8133]], "species": ["S", "S", "S", "S", "P", "Tl", "Tl"], "fractional_positions": [[0.7215, 0.7196, 0.7900], [0.9263, 0.2815, 0.2077], [0.0704, 0.0684, 0.7900], [0.2821, 0.9347, 0.2168], [0.0000, 0.0008, 0.0008], [0.7501, 0.2477, 0.4974], [0.2497, 0.7473, 0.4974]], "n_ef_per_ev_atom": 0.5661, "crystal_system": "monoclinic", "polymorph_energy_mev_per_atom": 21.6, "raw_formation_energy_ev_per_atom": -0.2397, "total_energy_ev_per_atom": -4.05}

=====

{"formula": "TlPS2", "functional": "PBE", "state": "optimized geometry", "lattice_angstrom": [[1.8531, 0.4009, 4.3891], [-2.3978, 2.3536, 3.4015], [-1.9498, -2.4001, 3.6465]], "species": ["S", "S", "Tl", "P"], "fractional_positions": [[0.2500, 0.2500, 0.2500], [0.7500, 0.7500, 0.7500], [0.5000, 0.5000, 0.5000], [0.0000, 0.0000, 0.0000]], "n_ef_per_ev_atom": 0.6650, "crystal_system": "cubic", "raw_formation_energy_ev_per_atom": 0.6114, "total_energy_ev_per_atom": -3.40}

=====

{"formula": "Tl5PS6", "functional": "PBE", "state": "optimized geometry", "lattice_angstrom": [[-6.0081, 3.3343, -2.2310], [-6.6286, -1.7994, 3.4648], [-1.5635, 6.3497, 3.5684]], "species": ["S", "S", "S", "S", "S", "S", "Tl", "Tl", "Tl", "Tl", "Tl", "P"], "fractional_positions": [[0.7181, 0.0000, 0.6971], [0.3008, 0.7700, 0.8104], [0.6992, 0.2300, 0.1896], [0.0708, 0.2300, 0.8104], [0.9292, 0.7700, 0.1896], [0.2819, 0.0000, 0.3029], [0.5000, 0.0000, 0.5000], [0.6597, 0.6807, 0.0000], [0.1611, 0.6778, 0.5000], [0.8389, 0.3222, 0.5000], [0.3403, 0.3193, 0.0000], [0.0000, 0.0000, 0.0000]], "n_ef_per_ev_atom": 0.3183, "crystal_system": "monoclinic", "raw_formation_energy_ev_per_atom": -0.0968, "total_energy_ev_per_atom": -3.60}

=====

{"formula": "TlPS3", "functional": "PBE", "state": "optimized geometry", "lattice_angstrom": [[-0.5786, -4.8543, -1.2394], [0.2716, -1.2762, 4.8716], [-5.0026, 0.4922, 0.4078]], "species": ["S", "S", "S", "P", "Tl"], "fractional_positions": [[0.0000, 0.5000, 0.0000], [0.0000, 0.0000, 0.5000], [0.5000, 0.0000, 0.0000], [0.5000, 0.5000, 0.5000], [0.0000, 0.0000, 0.0000]], "n_ef_per_ev_atom": 1.6372, "crystal_system": "cubic", "raw_formation_energy_ev_per_atom": 1.3264, "total_energy_ev_per_atom": -2.71}

=====

{"formula": "Tl2PS", "functional": "PBE", "state": "optimized geometry", "lattice_angstrom": [[-2.0472, -4.6052, -0.6378], [-4.0019, -1.4097, 2.7935], [-4.5708, -0.4698, -2.1663]], "species": ["Tl", "Tl", "S", "P"], "fractional_positions": [[0.7500, 0.7500, 0.7500], [0.2500, 0.2500, 0.2500], [0.5000, 0.5000, 0.5000], [0.0000, 0.0000, 0.0000]], "n_ef_per_ev_atom": 0.9793, "crystal_system": "cubic", "polymorph_energy_mev_per_atom": 274.6, "raw_formation_energy_ev_per_atom": 0.3633, "total_energy_ev_per_atom": -3.20}

=====

{"formula": "Tl3PS3", "functional": "PBE", "state": "optimized geometry", "lattice_angstrom": [[-2.0805, 4.1699, 4.3088], [2.5835, -5.6209, 6.6872], [5.8380, 6.2184, -3.1990]], "species": ["S", "S", "S", "S", "S", "S", "Tl", "Tl", "Tl", "Tl", "Tl", "Tl", "P", "P"], "fractional_positions": [[0.2500, 0.7966, 0.5924], [0.7500, 0.2034, 0.4076], [0.2500, 0.7968, 0.2027], [0.7500, 0.2032, 0.7973], [0.2500, 0.4076, 0.2039], [0.7500, 0.5924, 0.7961], [0.7500, 0.7998, 0.1997], [0.2500, 0.5990, 0.7993], [0.7500, 0.7998, 0.5990], [0.2500, 0.2002, 0.4010], [0.2500, 0.2002, 0.8003], [0.7500, 0.4010, 0.2007], [0.2500, 0.6670, 0.3330], [0.7500, 0.3330, 0.6670]], "n_ef_per_ev_atom": 0.1017, "crystal_system": "orthorhombic", "raw_formation_energy_ev_per_atom": -0.1595, "total_energy_ev_per_atom": -3.72}

=====

{"formula": "Tl5P2S12", "functional": "PBE", "state": "optimized geometry", "lattice_angstrom": [[2.5053, -9.3167, 1.7125], [4.4376, -3.7175, 7.9055], [-5.9777, -2.0058, 3.6786]], "species": ["Tl", "Tl", "Tl", "Tl", "Tl", "S", "S", "S", "S", "S", "S", "S", "S", "S", "S", "S", "S", "P", "P"], "fractional_positions": [[0.1845, 0.1845, 0.6280], [0.8155, 0.8155, 0.3720], [0.3209, 0.3209, 0.1162], [0.6791, 0.6791, 0.8838], [0.0000, 0.0000, 0.5000], [0.7591, 0.3327, 0.7736], [0.1254, 0.5111, 0.7418], [0.2409, 0.6673, 0.2264], [0.0809, 0.0809, 0.0712], [0.9191, 0.9191, 0.9288], [0.6673, 0.2409, 0.2264], [0.3687, 0.3687, 0.6087], [0.4889, 0.8746, 0.2582], [0.6313, 0.6313, 0.3913], [0.3327, 0.7591, 0.7736], [0.5111, 0.1254, 0.7418], [0.8746, 0.4889, 0.2582], [0.1724, 0.8276, 0.0000], [0.8276, 0.1724, 0.0000]], "n_ef_per_ev_atom": 0.3443, "crystal_system": "monoclinic", "raw_formation_energy_ev_per_atom": -0.1895, "total_energy_ev_per_atom": -3.99}

=====

{"formula": "TlPS2", "functional": "PBE", "state": "optimized geometry", "lattice_angstrom": [[6.4806, 0.0000, 0.0000], [0.0000, 6.4806, 0.0000], [3.2403, 3.2403, 5.6077]], "species": ["S", "S", "S", "S", "P", "P", "Tl", "Tl"], "fractional_positions": [[0.3750, 0.5037, 0.7500], [0.8750, 0.7463, 0.7500], [0.2537, 0.6250, 0.2500], [0.4963, 0.1250, 0.2500], [0.5000, 0.5000, 0.0000], [0.2500, 0.7500, 0.5000], [0.0000, 0.0000, 0.0000], [0.7500, 0.2500, 0.5000]], "n_ef_per_ev_atom": 0.0318, "crystal_system": "tetragonal", "raw_formation_energy_ev_per_atom": 0.0290, "total_energy_ev_per_atom": -3.98}

=====

{"formula": "TlP2S6", "functional": "PBE", "state": "optimized geometry", "lattice_angstrom": [[5.6322, 0.5696, 0.5514], [2.3834, 9.5578, -0.2500], [2.3834, 0.0598, 9.5609]], "species": ["S", "S", "S", "S", "S", "S", "S", "S", "S", "S", "S", "S", "P", "P", "P", "P", "Tl", "Tl"], "fractional_positions": [[0.3996, 0.0213, 0.1853], [0.5414, 0.2682, 0.3752], [0.4586, 0.7318, 0.6248], [0.6004, 0.9787, 0.8147], [0.1004, 0.8147, 0.9787], [0.0414, 0.3752, 0.2682], [0.0922, 0.1317, 0.5375], [0.9078, 0.8683, 0.4625], [0.9586, 0.6248, 0.7318], [0.5922, 0.5375, 0.1317], [0.4078, 0.4625, 0.8683], [0.8996, 0.1853, 0.0213], [0.7325, 0.8203, 0.6621], [0.2325, 0.6621, 0.8203], [0.2675, 0.1797, 0.3379], [0.7675, 0.3379, 0.1797], [0.2500, 0.2531, 0.7469], [0.7500, 0.7469, 0.2531]], "n_ef_per_ev_atom": 0.4038, "crystal_system": "monoclinic", "raw_formation_energy_ev_per_atom": -0.1332, "total_energy_ev_per_atom": -4.35}

=====

{"formula": "TlPS4", "functional": "PBE", "state": "optimized geometry", "lattice_angstrom": [[3.4669, 0.0000, 0.0000], [-1.7335, 6.3997, 0.6196], [0.0000, -2.7572, 5.8588]], "species": ["P", "S", "S", "S", "S", "Tl"], "fractional_positions": [[0.0000, 0.0000, 0.0000], [0.6136, 0.2272, 0.9472], [0.1159, 0.2319, 0.3449], [0.8841, 0.7681, 0.6551], [0.3864, 0.7728, 0.0528], [0.5000, 0.0000, 0.5000]], "n_ef_per_ev_atom": 0.1791, "crystal_system": "monoclinic", "raw_formation_energy_ev_per_atom": 0.1568, "total_energy_ev_per_atom": -3.89}

=====

Number 11 is which compound? TlP2S6

=====

Repeat the third record exactly.
{"formula": "Tl2PS4", "functional": "PBE", "state": "optimized geometry", "lattice_angstrom": [[-0.5320, -2.0700, 6.8136], [6.5773, -2.7684, -0.2615], [-1.1569, 6.7310, -1.8133]], "species": ["S", "S", "S", "S", "P", "Tl", "Tl"], "fractional_positions": [[0.7215, 0.7196, 0.7900], [0.9263, 0.2815, 0.2077], [0.0704, 0.0684, 0.7900], [0.2821, 0.9347, 0.2168], [0.0000, 0.0008, 0.0008], [0.7501, 0.2477, 0.4974], [0.2497, 0.7473, 0.4974]], "n_ef_per_ev_atom": 0.5661, "crystal_system": "monoclinic", "polymorph_energy_mev_per_atom": 21.6, "raw_formation_energy_ev_per_atom": -0.2397, "total_energy_ev_per_atom": -4.05}